Density functional theory data (GGA-PBE) for crystalline ZrHgP2 at its relaxed geometry.

Output
* formation energy from the elements: -0.25 eV per atom
* raw total energy: -5.171 eV/atom

CIF file:
```
data_ZrHgP2
_cell_length_a 6.984
_cell_length_b 6.984
_cell_length_c 6.984
_cell_angle_alpha 31.81
_cell_angle_beta 31.81
_cell_angle_gamma 31.81
_space_group_name_H-M_alt 'P 1'
_space_group_IT_number 1
_space_group_name_Hall 'P 1'
loop_
_atom_site_label
_atom_site_fract_x
_atom_site_fract_y
_atom_site_fract_z
Hg1 0.750 0.750 0.750
P1 0.992 0.992 0.992
P2 0.508 0.508 0.508
Zr1 0.250 0.250 0.250
```

---

Density functional theory data (GGA-PBE) for crystalline Lu2HgSb at its relaxed geometry.

Output
* ΔE_f (raw): -0.580 eV/atom
* raw total energy: -3.946 eV/atom

CIF file:
```
data_Lu2HgSb
_cell_length_a 3.850
_cell_length_b 3.850
_cell_length_c 6.788
_cell_angle_alpha 90.00
_cell_angle_beta 90.00
_cell_angle_gamma 90.00
_space_group_name_H-M_alt 'P 1'
_space_group_IT_number 1
_space_group_name_Hall 'P 1'
loop_
_atom_site_label
_atom_site_fract_x
_atom_site_fract_y
_atom_site_fract_z
Sb1 0.500 0.500 0.000
Lu1 0.000 0.000 0.754
Lu2 0.000 0.000 0.246
Hg1 0.500 0.500 0.500
```

---

Density functional theory data (GGA-PBE) for crystalline TcNiCl2 at its relaxed geometry.

Output
* ΔE_f (raw): 0.435 eV/atom
* raw total energy: -4.525 eV/atom

CIF file:
```
data_TcNiCl2
_cell_length_a 7.542
_cell_length_b 7.542
_cell_length_c 7.542
_cell_angle_alpha 23.14
_cell_angle_beta 23.14
_cell_angle_gamma 23.14
_space_group_name_H-M_alt 'P 1'
_space_group_IT_number 1
_space_group_name_Hall 'P 1'
loop_
_atom_site_label
_atom_site_fract_x
_atom_site_fract_y
_atom_site_fract_z
Ni1 0.250 0.250 0.250
Tc1 0.750 0.750 0.750
Cl1 0.997 0.997 0.997
Cl2 0.503 0.503 0.503
```

---

Density functional theory data (GGA-PBE) for crystalline MnTlNi2 at its relaxed geometry.

Output
* formation energy from the elements: 0.29 eV per atom
* raw total energy: -5.486 eV/atom

CIF file:
```
data_MnTlNi2
_cell_length_a 4.342
_cell_length_b 4.342
_cell_length_c 4.342
_cell_angle_alpha 60.00
_cell_angle_beta 60.00
_cell_angle_gamma 60.00
_space_group_name_H-M_alt 'P 1'
_space_group_IT_number 1
_space_group_name_Hall 'P 1'
loop_
_atom_site_label
_atom_site_fract_x
_atom_site_fract_y
_atom_site_fract_z
Mn1 0.500 0.500 0.500
Ni1 0.000 0.000 0.000
Ni2 0.250 0.250 0.250
Tl1 0.750 0.750 0.750
```